# 1
# Tl3Cd8Ga | Alexandria via LeMat-Bulk | GGA-PBE | relaxed
data_Tl3Cd8Ga
_chemical_formula_sum 'Tl9 Cd24 Ga3'
_space_group_name_H-M_alt 'R 3 m'
_space_group_IT_number 160
_space_group_name_Hall 'R 3 -2"'
_cell_length_a 5.9549
_cell_length_b 5.9549
_cell_length_c 29.9381
_cell_angle_alpha 90.00
_cell_angle_beta 90.00
_cell_angle_gamma 120.00
loop_
_atom_site_label
_atom_site_type_symbol
_atom_site_fract_x
_atom_site_fract_y
_atom_site_fract_z
Tl1 Tl 0.0000 0.0000 0.0000
Tl2 Tl 0.0000 0.0000 0.1260
Tl3 Tl 0.0000 0.0000 0.6236
Cd1 Cd 0.0000 0.0000 0.3127
Cd2 Cd 0.0000 0.0000 0.8128
Cd3 Cd 0.0019 0.5010 0.0640
Cd4 Cd 0.1672 0.3344 0.8946
Ga1 Ga 0.0000 0.0000 0.5020
# - Formation energy: 0.052 eV/atom
# - Spin magnetization: 0.000 μB per atom

# 2
# TmTlCdGa | Alexandria via LeMat-Bulk | GGA-PBE | relaxed
data_TmTlCdGa
_chemical_formula_sum 'Tm4 Tl4 Cd4 Ga4'
_space_group_name_H-M_alt 'F -4 3 m'
_space_group_IT_number 216
_space_group_name_Hall 'F -4 2 3'
_cell_length_a 7.226
_cell_length_b 7.226
_cell_length_c 7.226
_cell_angle_alpha 90.00
_cell_angle_beta 90.00
_cell_angle_gamma 90.00
loop_
_atom_site_label
_atom_site_type_symbol
_atom_site_fract_x
_atom_site_fract_y
_atom_site_fract_z
Tm1 Tm 0.000 0.000 0.000
Tl1 Tl 0.250 0.250 0.250
Cd1 Cd 0.000 0.000 0.500
Ga1 Ga 0.250 0.250 0.750
# - Formation energy: -0.135 eV/atom
# - Spin magnetization: 0.000 μB per atom

# 3
# Y4TlCd2Ga | Alexandria via LeMat-Bulk | GGA-PBE | relaxed
data_Y4TlCd2Ga
_chemical_formula_sum 'Y12 Tl3 Cd6 Ga3'
_space_group_name_H-M_alt 'R -3 m'
_space_group_IT_number 166
_space_group_name_Hall '-R 3 2"'
_cell_length_a 5.2580
_cell_length_b 5.2580
_cell_length_c 25.7702
_cell_angle_alpha 90.00
_cell_angle_beta 90.00
_cell_angle_gamma 120.00
loop_
_atom_site_label
_atom_site_type_symbol
_atom_site_fract_x
_atom_site_fract_y
_atom_site_fract_z
Y1 Y 0.0000 0.0000 0.1208
Y2 Y 0.0000 0.0000 0.3712
Tl1 Tl 0.0000 0.0000 0.5000
Cd1 Cd 0.0000 0.0000 0.2486
Ga1 Ga 0.0000 0.0000 0.0000
# - Formation energy: -0.427 eV/atom
# - Spin magnetization: 0.000 μB per atom

# 4
# Y4Tl2CdGa | Alexandria via LeMat-Bulk | GGA-PBE | relaxed
data_Y4Tl2CdGa
_chemical_formula_sum 'Y12 Tl6 Cd3 Ga3'
_space_group_name_H-M_alt 'R -3 m'
_space_group_IT_number 166
_space_group_name_Hall '-R 3 2"'
_cell_length_a 5.2884
_cell_length_b 5.2884
_cell_length_c 25.7828
_cell_angle_alpha 90.00
_cell_angle_beta 90.00
_cell_angle_gamma 120.00
loop_
_atom_site_label
_atom_site_type_symbol
_atom_site_fract_x
_atom_site_fract_y
_atom_site_fract_z
Y1 Y 0.0000 0.0000 0.1197
Y2 Y 0.0000 0.0000 0.3710
Tl1 Tl 0.0000 0.0000 0.2441
Cd1 Cd 0.0000 0.0000 0.5000
Ga1 Ga 0.0000 0.0000 0.0000
# - Formation energy: -0.426 eV/atom
# - Spin magnetization: 0.000 μB per atom

# 5
# TmCdGa | Alexandria via LeMat-Bulk | GGA-PBE | relaxed
data_TmCdGa
_chemical_formula_sum 'Tm4 Cd4 Ga4'
_space_group_name_H-M_alt 'C 1 2/m 1'
_space_group_IT_number 12
_cell_length_a 12.362
_cell_length_b 4.122
_cell_length_c 5.394
_cell_angle_alpha 90.00
_cell_angle_beta 100.16
_cell_angle_gamma 90.00
loop_
_space_group_symop_operation_xyz
'x,y,z'
'-x,-y,-z'
'-x,y,-z'
'x,-y,z'
'x+1/2,y+1/2,z'
'-x+1/2,-y+1/2,-z'
'-x+1/2,y+1/2,-z'
'x+1/2,-y+1/2,z'
loop_
_atom_site_label
_atom_site_type_symbol
_atom_site_fract_x
_atom_site_fract_y
_atom_site_fract_z
Tm1 Tm 0.127 0.000 0.314
Cd1 Cd 0.070 0.500 0.785
Ga1 Ga 0.229 0.000 0.837
# - Formation energy: -0.378 eV/atom
# - Spin magnetization: 0.000 μB per atom

# 6
# TmCd2Ga | Alexandria via LeMat-Bulk | GGA-PBE | relaxed
data_TmCd2Ga
_chemical_formula_sum 'Tm3 Cd6 Ga3'
_space_group_name_H-M_alt 'R -3 m'
_space_group_IT_number 166
_space_group_name_Hall '-R 3 2"'
_cell_length_a 3.2300
_cell_length_b 3.2300
_cell_length_c 32.8035
_cell_angle_alpha 90.00
_cell_angle_beta 90.00
_cell_angle_gamma 120.00
loop_
_atom_site_label
_atom_site_type_symbol
_atom_site_fract_x
_atom_site_fract_y
_atom_site_fract_z
Tm1 Tm 0.0000 0.0000 0.0000
Cd1 Cd 0.0000 0.0000 0.0943
Ga1 Ga 0.0000 0.0000 0.5000
# - Formation energy: 0.173 eV/atom
# - E above lowest polymorph: 0.486 eV/atom
# - Spin magnetization: 0.000 μB per atom